## HoTm2Pt (GGA-PBE)

Data for a relaxed HoTm2Pt crystal.

Unit cell a=3.7534 b=6.3163 c=9.2337 alpha=90.00 beta=90.00 gamma=107.33
With the nearest neighbours (Å) after each atom.
Atoms (fractional coordinates):
1 Ho 0.4321 0.8643 0.2500  2 Pt 2.96
2 Ho 0.5679 0.1357 0.7500  2 Pt 2.96
3 Tm 0.1369 0.2733 0.4368  2 Pt 2.85
4 Tm 0.8631 0.7267 0.5632  2 Pt 2.85
5 Tm 0.8631 0.7267 0.9368  2 Pt 2.85
6 Tm 0.1369 0.2733 0.0632  2 Pt 2.85
7 Pt 0.7426 0.4848 0.2500  4 Tm 2.85, 2 Ho 2.96
8 Pt 0.2574 0.5152 0.7500  4 Tm 2.85, 2 Ho 2.96

Computed properties:
calculated formation energy	-0.70	eV per atom
distance to the lowest polymorph of the same formula	39	meV per atom


## Ca3Ac2PuN6 (GGA-PBE)

Data for a relaxed Ca3Ac2PuN6 crystal.

Unit cell a=6.4761 b=6.4761 c=6.1577 alpha=99.45 beta=99.45 gamma=121.18
With the nearest neighbours (Å) after each atom.
Atoms (fractional coordinates):
1 Ca 0.1457 0.8543 0.5000  4 N 2.45-2.51
2 Ca 0.8543 0.1457 0.5000  4 N 2.45-2.51
3 Ca 0.5000 0.5000 0.5000  6 N 2.58-2.79
4 Ac 0.3327 0.6673 0.0000  6 N 2.62-2.69
5 Ac 0.6673 0.3327 0.0000  6 N 2.62-2.69
6 Pu 0.0000 0.0000 0.0000  6 N 2.20-2.32
7 N 0.9277 0.6520 0.7793  1 Pu 2.20
8 N 0.7719 0.7719 0.2258  1 Pu 2.32, 2 Ca 2.45
9 N 0.0723 0.3480 0.2207  1 Pu 2.20
10 N 0.6520 0.9277 0.7793  1 Pu 2.20
11 N 0.2281 0.2281 0.7742  1 Pu 2.32, 2 Ca 2.45
12 N 0.3480 0.0723 0.2207  1 Pu 2.20

Computed properties:
formation energy without anion corrections	-1.019	eV/atom


## Na2SbPbF (GGA-PBE)

Data for a relaxed Na2SbPbF crystal.

Unit cell a=4.6967 b=4.6967 c=5.3725 alpha=90.00 beta=90.00 gamma=90.00
With the nearest neighbours (Å) after each atom.
Atoms (fractional coordinates):
1 Pb 0.0000 0.0000 0.5000  2 F 2.69
2 Sb 0.5000 0.5000 0.5000  4 Pb 3.32, 8 Na 3.57
3 F 0.0000 0.0000 0.0000  4 Na 2.35
4 Na 0.0000 0.5000 0.0000  2 F 2.35
5 Na 0.5000 0.0000 0.0000  2 F 2.35

Computed properties:
formation energy without anion corrections	-1.075	eV/atom


## CaNd2Ga (GGA-PBE)

Data for a relaxed CaNd2Ga crystal.

Unit cell a=3.7013 b=3.7013 c=9.3928 alpha=90.00 beta=90.00 gamma=90.00
With the nearest neighbours (Å) after each atom.
Atoms (fractional coordinates):
1 Ca 0.5000 0.5000 0.5000  4 Ca 3.70, 8 Nd 3.91
2 Nd 0.0000 0.0000 0.8090  4 Ga 3.17
3 Nd 0.0000 0.0000 0.1910  4 Ga 3.17
4 Ga 0.5000 0.5000 0.0000  8 Nd 3.17

Computed properties:
calculated formation energy	-0.23	eV per atom
distance to the lowest polymorph of the same formula	0	meV per atom


## Zr2CoAgH (GGA-PBE)

Data for a relaxed Zr2CoAgH crystal.

Unit cell a=4.5877 b=4.5877 c=3.5607 alpha=90.00 beta=90.00 gamma=90.00
With the nearest neighbours (Å) after each atom.
Atoms (fractional coordinates):
1 H 0.0000 0.0000 0.0000  2 Co 1.78
2 Co 0.0000 0.0000 0.5000  2 H 1.78
3 Zr 0.0000 0.5000 0.0000  2 H 2.29
4 Zr 0.5000 0.0000 0.0000  2 H 2.29
5 Ag 0.5000 0.5000 0.5000  8 Zr 2.90, 4 Co 3.24


## SrAcSbSe (GGA-PBE)

Data for a relaxed SrAcSbSe crystal.

Unit cell a=4.6830 b=4.6830 c=7.9986 alpha=72.98 beta=72.98 gamma=60.00
With the nearest neighbours (Å) after each atom.
Atoms (fractional coordinates):
1 Sr 0.4990 0.4990 0.5029  3 Se 3.30, 3 Sb 3.32
2 Ac 0.0011 0.0011 0.9966  3 Se 3.26, 3 Sb 3.29
3 Sb 0.2512 0.2512 0.2464  3 Ac 3.29, 3 Sr 3.32
4 Se 0.7486 0.7486 0.7541  3 Ac 3.26, 3 Sr 3.30

Computed properties:
formation energy without anion corrections	-1.568	eV/atom


## La3Sm2Si4 (GGA-PBE)

Data for a relaxed La3Sm2Si4 crystal.

Unit cell a=7.9471 b=7.9048 c=7.9617 alpha=90.00 beta=90.00 gamma=103.67
With the nearest neighbours (Å) after each atom.
Atoms (fractional coordinates):
1 La 0.0000 0.5000 0.5000  6 Si 3.16-3.23
2 La 0.5000 0.5000 0.0000  6 Si 3.16-3.23
3 La 0.7565 0.2362 0.8171  6 Si 2.98-3.17
4 La 0.7435 0.7638 0.3171  6 Si 2.98-3.17
5 La 0.2435 0.7638 0.1829  6 Si 2.98-3.17
6 La 0.2565 0.2362 0.6829  6 Si 2.98-3.17
7 Sm 0.6114 0.2138 0.3080  6 Si 3.13-3.37
8 Sm 0.8886 0.7862 0.8080  6 Si 3.13-3.37
9 Sm 0.3886 0.7862 0.6920  6 Si 3.13-3.37
10 Sm 0.1114 0.2138 0.1920  6 Si 3.13-3.37
11 Si 0.8974 0.0895 0.5180  1 Si 2.42
12 Si 0.6026 0.9105 0.0180  1 Si 2.42
13 Si 0.1026 0.9105 0.4820  1 Si 2.42
14 Si 0.3974 0.0895 0.9820  1 Si 2.42
15 Si 0.8884 0.4919 0.1140  1 Si 2.52
16 Si 0.6116 0.5081 0.6140  1 Si 2.52
17 Si 0.1116 0.5081 0.8860  1 Si 2.52
18 Si 0.3884 0.4919 0.3860  1 Si 2.52

Computed properties:
formation energy without anion corrections	-0.645	eV/atom


## Cs3Tb2TmTe6 (GGA-PBE)

Data for a relaxed Cs3Tb2TmTe6 crystal.

Unit cell a=7.8809 b=7.8809 c=9.2971 alpha=98.12 beta=98.12 gamma=120.00
With the nearest neighbours (Å) after each atom.
Atoms (fractional coordinates):
1 Cs 0.1679 0.8321 0.5000  6 Te 3.81-3.83
2 Cs 0.8321 0.1679 0.5000  6 Te 3.81-3.83
3 Cs 0.5000 0.5000 0.5000  6 Te 3.81-3.84
4 Tb 0.3335 0.6665 0.0000  6 Te 3.13-3.14
5 Tb 0.6665 0.3335 0.0000  6 Te 3.13-3.14
6 Tm 0.0000 0.0000 0.0000  6 Te 3.10
7 Te 0.9370 0.6074 0.8108  1 Tm 3.10, 2 Tb 3.13-3.14
8 Te 0.7337 0.7337 0.1897  1 Tm 3.10, 2 Tb 3.14
9 Te 0.0630 0.3926 0.1892  1 Tm 3.10, 2 Tb 3.13-3.14
10 Te 0.6074 0.9370 0.8108  1 Tm 3.10, 2 Tb 3.13-3.14
11 Te 0.2663 0.2663 0.8103  1 Tm 3.10, 2 Tb 3.14
12 Te 0.3926 0.0630 0.1892  1 Tm 3.10, 2 Tb 3.13-3.14

Computed properties:
formation energy without anion corrections	-1.381	eV/atom


## PbS5I (GGA-PBE)

Data for a relaxed PbS5I crystal.

Unit cell a=4.3232 b=6.4656 c=9.7202 alpha=122.87 beta=77.49 gamma=85.98
With the nearest neighbours (Å) after each atom.
Atoms (fractional coordinates):
1 Pb 0.9580 0.3430 0.7539  3 S 2.82-2.85
2 S 0.7774 0.0168 0.1055  2 S 1.95-2.08
3 S 0.8985 0.6986 0.1035  1 S 2.08
4 S 0.3302 0.2081 0.2461  1 S 1.95
5 S 0.4849 0.5335 0.6665  1 S 2.04
6 S 0.4394 0.8989 0.7409  1 S 2.04
7 I 0.6423 0.8319 0.4451  2 S 2.59-2.86

Computed properties:
formation energy without anion corrections	0.064	eV/atom


## HoScSb (GGA-PBE)

Data for a relaxed HoScSb crystal.

Unit cell a=3.8743 b=4.8607 c=4.8607 alpha=120.00 beta=90.00 gamma=90.00
With the nearest neighbours (Å) after each atom.
Atoms (fractional coordinates):
1 Sc 0.1108 0.0000 0.0000  3 Sb 2.86
2 Sb 0.2532 0.3333 0.6667  3 Sc 2.86, 3 Ho 3.17
3 Ho 0.6360 0.6667 0.3333  3 Sb 3.17, 6 Sc 3.36-3.47

Computed properties:
formation energy without anion corrections	-0.457	eV/atom


## TmZnBi2 (GGA-PBE)

Data for a relaxed TmZnBi2 crystal.

Unit cell a=4.0434 b=4.0434 c=6.5203 alpha=90.00 beta=90.00 gamma=90.00
With the nearest neighbours (Å) after each atom.
Atoms (fractional coordinates):
1 Zn 0.5000 0.5000 0.5000  2 Tm 3.26, 8 Bi 3.29
2 Tm 0.5000 0.5000 0.0000  2 Zn 3.26, 8 Bi 3.30
3 Bi 0.0000 0.0000 0.7485  2 Bi 3.24-3.28, 4 Zn 3.29, 4 Tm 3.30
4 Bi 0.0000 0.0000 0.2515  2 Bi 3.24-3.28, 4 Zn 3.29, 4 Tm 3.30

Computed properties:
calculated formation energy	-0.25	eV per atom
distance to the lowest polymorph of the same formula	0	meV per atom


## SmBePd6 (GGA-PBE)

Data for a relaxed SmBePd6 crystal.

Unit cell a=5.4933 b=5.4933 c=5.4933 alpha=108.03 beta=108.03 gamma=108.03
With the nearest neighbours (Å) after each atom.
Atoms (fractional coordinates):
1 Sm 0.0000 0.0000 0.0000  12 Pd 2.89-3.20, 2 Be 2.94
2 Be 0.5000 0.5000 0.5000  6 Pd 2.35
3 Pd 0.2403 0.6800 0.2403  1 Be 2.35, 2 Pd 2.62
4 Pd 0.2403 0.2403 0.6800  1 Be 2.35, 2 Pd 2.62
5 Pd 0.7597 0.3200 0.7597  1 Be 2.35, 2 Pd 2.62
6 Pd 0.3200 0.7597 0.7597  1 Be 2.35, 2 Pd 2.62
7 Pd 0.7597 0.7597 0.3200  1 Be 2.35, 2 Pd 2.62
8 Pd 0.6800 0.2403 0.2403  1 Be 2.35, 2 Pd 2.62

Computed properties:
calculated formation energy	-0.33	eV per atom


| no. | VASP energy (eV per cell) |
| --- | --- |
| 1 | -44.8 |
| 2 | -90.7 |
| 3 | -17.7 |
| 4 | -15.5 |
| 5 | -31.1 |
| 6 | -19.7 |
| 7 | -103.4 |
| 8 | -51.7 |
| 9 | -25.4 |
| 10 | -16.4 |
| 11 | -14.5 |
| 12 | -42.3 |